Here is NaTaF2 after structural relaxation from the Alexandria database. Energies are from PBE-GGA. Values from VASP.

Values from the calculation:
* total DFT energy (no corrections): -19.0 eV/cell
* magnetization: 3.49 Bohr magnetons per cell
* energy above the lowest structure with this stoichiometry: 860 meV per atom
* volume: 59.4 Å³ per cell
* Fermi-level density of states: 1.644 states/eV/f.u.

Geometry as Quantum ESPRESSO input:
```
&SYSTEM
  ibrav = 0, nat = 4, ntyp = 3
/
ATOMIC_SPECIES
Na 22.99 Na.upf
F 19.00 F.upf
Ta 180.95 Ta.upf
CELL_PARAMETERS angstrom
0.000 3.098 3.098
3.098 0.000 3.098
3.098 3.098 0.000
ATOMIC_POSITIONS angstrom
Na 0.000 0.000 0.000
F 1.549 1.549 1.549
F 4.646 4.646 4.646
Ta 3.098 3.098 3.098
```